(1)
DFT (GGA-PBE) results for crystalline BeBi2P at its relaxed geometry.

Lattice parameters (Å, degrees): 7.535 7.535 7.535 132.72 132.72 69.09
Atoms (fractional coordinates):
Be  0.000  0.000  0.000
Be  0.750  0.250  0.500
Bi  0.088  0.625  0.963
Bi  0.375  0.338  0.463
Bi  0.662  0.125  0.037
Bi  0.875  0.912  0.537
P  0.250  0.750  0.500
P  0.500  0.500  0.000

Results
Total magnetic moment (μB per cell): 0.00
Symmetry: I-42d
Formation energy from the elements (kJ/mol of formula units): 153

=====

(2)
DFT (GGA-PBE) results for crystalline CdHCl at its relaxed geometry.

Lattice parameters (Å, degrees): 6.150 7.962 12.320 90.08 94.92 108.26
Atoms (fractional coordinates):
Cd  0.000  0.000  0.000
Cd  0.005  0.489  0.959
Cd  0.528  0.415  0.231
Cd  0.572  0.864  0.200
Cd  0.614  0.402  0.719
Cd  0.659  0.906  0.729
Cd  0.886  0.477  0.475
Cd  0.900  0.963  0.465
H  0.453  0.613  0.189
H  0.630  0.431  0.380
H  0.692  0.912  0.345
H  0.765  0.442  0.860
H  0.789  0.945  0.100
H  0.798  0.923  0.601
H  0.824  0.469  0.619
H  0.828  0.953  0.860
Cl  0.142  0.286  0.456
Cl  0.167  0.779  0.444
Cl  0.262  0.807  0.978
Cl  0.275  0.306  0.964
Cl  0.324  0.079  0.210
Cl  0.360  0.596  0.720
Cl  0.376  0.083  0.706
Cl  0.908  0.421  0.154

Results
Total magnetic moment (μB per cell): 0.00
Symmetry: P1
Final energy (eV/atom): -2.460

=====

(3)
DFT (GGA-PBE) results for crystalline NaTm2MnS4 at its relaxed geometry.

Lattice parameters (Å, degrees): 6.664 6.664 6.664 132.10 132.10 70.07
Atoms (fractional coordinates):
Na  0.000  0.000  0.000
Tm  0.500  0.500  0.000
Tm  0.750  0.250  0.500
Mn  0.250  0.750  0.500
S  0.001  0.501  0.500
S  0.254  0.254  0.000
S  0.499  0.999  0.500
S  0.746  0.746  0.000

Results
Total magnetic moment (μB per cell): 4.08
Symmetry: I-4m2
Final energy (eV/atom): -6.002

=====

(4)
DFT (GGA-PBE) results for crystalline NaSmSnAu at its relaxed geometry.

Lattice parameters (Å, degrees): 5.197 5.197 5.197 60.00 60.00 60.00
Atoms (fractional coordinates):
Na  0.000  0.000  0.000
Sm  0.500  0.500  0.500
Sn  0.250  0.250  0.250
Au  0.750  0.750  0.750

Results
Total magnetic moment (μB per cell): 0.00
Symmetry: F-43m
Formation energy from the elements (kJ/mol of formula units): -196

=====

(5)
DFT (GGA-PBE) results for crystalline ErBe3 at its relaxed geometry.

Lattice parameters (Å, degrees): 2.987 3.604 5.379 90.00 90.00 90.00
Atoms (fractional coordinates):
Er  0.000  0.000  0.000
Be  0.000  0.500  0.528
Be  0.500  0.000  0.478
Be  0.500  0.500  0.256

Results
Total magnetic moment (μB per cell): 0.00
Symmetry: Pmm2
Formation energy from the elements (kJ/mol of formula units): 118

=====

(6)
DFT (GGA-PBE) results for crystalline BaAcMg at its relaxed geometry.

Lattice parameters (Å, degrees): 6.044 6.044 3.909 90.00 90.00 120.00
Atoms (fractional coordinates):
Ba  0.000  0.000  0.000
Ac  0.667  0.333  0.403
Mg  0.333  0.667  0.707

Results
Total magnetic moment (μB per cell): 0.00
Symmetry: P3m1
Formation energy from the elements (kJ/mol of formula units): 34

=====

(7)
DFT (GGA-PBE) results for crystalline Pm3Ge2Pd4 at its relaxed geometry.

Lattice parameters (Å, degrees): 5.742 5.742 8.710 110.61 110.61 45.94
Atoms (fractional coordinates):
Pm  0.000  0.000  0.000
Pm  0.359  0.359  0.309
Pm  0.641  0.641  0.691
Ge  0.347  0.347  0.678
Ge  0.653  0.653  0.322
Pd  0.099  0.099  0.417
Pd  0.282  0.282  0.929
Pd  0.718  0.718  0.071
Pd  0.901  0.901  0.583

Results
Total magnetic moment (μB per cell): 0.00
Symmetry: C2/m
Formation energy from the elements (kJ/mol of formula units): -748

=====

(8)
DFT (GGA-PBE) results for crystalline Na2TcGeC at its relaxed geometry.

Lattice parameters (Å, degrees): 5.732 5.732 3.795 90.00 90.00 90.00
Atoms (fractional coordinates):
Na  0.000  0.500  0.000
Na  0.500  0.000  0.000
Tc  0.000  0.000  0.000
Ge  0.500  0.500  0.500
C  0.000  0.000  0.500

Results
Total magnetic moment (μB per cell): 0.99
Symmetry: P4/mmm
Formation energy from the elements (kJ/mol of formula units): 602

=====

Look up the total magnetic moment of the eighth one. 0.99 μB per cell

=====

Look up the total magnetic moment of the sixth one. 0.00 μB per cell